VASP calculation (GGA-PBE) on Tb4IrS2Cl after structural relaxation.

Structure (POSCAR):
```
Tb4IrS2Cl
1.0
7.0060 0.0000 0.0000
0.0000 3.8935 0.0000
-2.2164 0.0000 6.7023
Tb Ir S Cl
4 1 2 1
Direct
0.2286 0.0000 0.2369 Tb
0.2314 0.5000 0.7436 Tb
0.7686 0.5000 0.2564 Tb
0.7714 0.0000 0.7631 Tb
0.0000 0.0000 0.5000 Ir
0.0000 0.5000 0.0000 S
0.5000 0.0000 0.0000 S
0.5000 0.5000 0.5000 Cl
```

Properties
Its uncorrected formation energy is -12.15 eV/f.u. Its crystal system is monoclinic. The calculated total energy is -6.2047 eV/atom. Its total moment is 0.0 μB/f.u. As for the density of states at the Fermi level: 4.67 states/eV/cell. The space group is P2/m, No. 10.